# 1
The following is a DFT calculation (PBE) of a geometry-optimized Cs4Zr3Se14 structure.

Crystal system: monoclinic
Electronic total energy, eV/atom: -4.774

a b c (Å): 23.162 9.050 15.125
angles (deg): 90.00 112.43 90.00
Space group C2/c (No. 15)
Asymmetric unit:
Cs 0.066 0.249 0.148 [8 per cell]
Cs 0.199 0.320 0.605 [8 per cell]
Zr 0.000 0.260 0.750 [4 per cell]
Zr 0.168 0.257 0.914 [8 per cell]
Se 0.037 0.332 0.604 [8 per cell]
Se 0.064 0.100 0.917 [8 per cell]
Se 0.081 0.484 0.866 [8 per cell]
Se 0.100 0.145 0.723 [8 per cell]
Se 0.146 0.042 0.391 [8 per cell]
Se 0.175 0.484 0.334 [8 per cell]
Se 0.219 0.284 0.099 [8 per cell]

=====

# 2
The following is a DFT calculation (PBE) of a geometry-optimized CsZr6Se12 structure.

Crystal system: trigonal
Electronic total energy, eV/atom: -6.044
N(E_F), states/eV/cell: 22.17

a b c (Å): 13.1992 13.1992 9.5565
angles (deg): 90.00 90.00 120.00
Space group R-3m (No. 166, hexagonal axes)
Asymmetric unit:
Cs 0.0000 0.0000 0.0000 [3 per cell]
Zr 0.0721 0.5361 0.2722 [18 per cell]
Se 0.0000 0.3770 0.5000 [18 per cell]
Se 0.0898 0.1795 0.3426 [18 per cell]

=====

# 3
The following is a DFT calculation (PBE) of a geometry-optimized CsZrSe3 structure.

Energy relative to the lowest polymorph listed for this composition, meV per atom: 54
Crystal system: cubic
Electronic total energy, eV/atom: -5.078
N(E_F), states/eV/cell: 2.88

a b c (Å): 5.347 5.347 5.347
angles (deg): 90.00 90.00 90.00
Space group Pm-3m (No. 221)
Asymmetric unit:
Cs 0.000 0.000 0.000 [1 per cell]
Zr 0.500 0.500 0.500 [1 per cell]
Se 0.000 0.500 0.500 [3 per cell]

=====

# 4
The following is a DFT calculation (PBE) of a geometry-optimized CsSi structure.

Energy relative to the lowest polymorph listed for this composition, meV per atom: 1224
Crystal system: cubic
Electronic total energy, eV/atom: -1.996

a b c (Å): 8.677 8.677 8.677
angles (deg): 90.00 90.00 90.00
Space group F-43m (No. 216)
Asymmetric unit:
Cs 0.000 0.000 0.000 [4 per cell]
Si 0.250 0.250 0.250 [4 per cell]

=====

# 5
The following is a DFT calculation (PBE) of a geometry-optimized CsSi structure.

Energy relative to the lowest polymorph listed for this composition, meV per atom: 1151
Crystal system: cubic
Electronic total energy, eV/atom: -2.069
N(E_F), states/eV/cell: 1.24

a b c (Å): 7.817 7.817 7.817
angles (deg): 90.00 90.00 90.00
Space group Fm-3m (No. 225)
Asymmetric unit:
Cs 0.000 0.000 0.000 [4 per cell]
Si 0.000 0.000 0.500 [4 per cell]

=====

# 6
The following is a DFT calculation (PBE) of a geometry-optimized CsSi structure.

Energy relative to the lowest polymorph listed for this composition, meV per atom: 23
Crystal system: tetragonal
Electronic total energy, eV/atom: -3.197

a b c (Å): 11.470 11.470 18.669
angles (deg): 90.00 90.00 90.00
Space group I4_1/acd (No. 142, origin choice 2)
Asymmetric unit:
Cs 0.121 0.129 0.125 [16 per cell]
Cs 0.140 0.000 0.750 [16 per cell]
Si 0.057 0.160 0.921 [32 per cell]

=====

# 7
The following is a DFT calculation (PBE) of a geometry-optimized CsSi structure.

Energy relative to the lowest polymorph listed for this composition, meV per atom: 1186
Crystal system: hexagonal
Electronic total energy, eV/atom: -2.034
N(E_F), states/eV/cell: 4.20

a b c (Å): 3.6395 3.6395 12.8504
angles (deg): 90.00 90.00 120.00
Space group P6_3mc (No. 186)
Asymmetric unit:
Cs 0.3333 0.6667 0.0000 [2 per cell]
Si 0.3333 0.6667 0.2709 [2 per cell]

=====

# 8
The following is a DFT calculation (PBE) of a geometry-optimized CsSi structure.

Energy relative to the lowest polymorph listed for this composition, meV per atom: 155
Crystal system: orthorhombic
Electronic total energy, eV/atom: -3.065
N(E_F), states/eV/cell: 8.38

a b c (Å): 6.164 12.955 7.676
angles (deg): 90.00 90.00 90.00
Space group Cmcm (No. 63)
Asymmetric unit:
Cs 0.000 0.090 0.250 [4 per cell]
Cs 0.000 0.230 0.750 [4 per cell]
Si 0.000 0.431 0.100 [8 per cell]

=====

# 9
The following is a DFT calculation (PBE) of a geometry-optimized CsSi2 structure.

Energy relative to the lowest polymorph listed for this composition, meV per atom: 0
Crystal system: trigonal
Electronic total energy, eV/atom: -3.841
N(E_F), states/eV/cell: 0.64

a b c (Å): 3.9876 3.9876 6.3486
angles (deg): 90.00 90.00 120.00
Space group P-3m1 (No. 164)
Asymmetric unit:
Cs 0.0000 0.0000 0.0000 [1 per cell]
Si 0.3333 0.6667 0.5474 [2 per cell]

=====

# 10
The following is a DFT calculation (PBE) of a geometry-optimized CsSi structure.

Energy relative to the lowest polymorph listed for this composition, meV per atom: 310
Crystal system: orthorhombic
Electronic total energy, eV/atom: -2.910
N(E_F), states/eV/cell: 10.39

a b c (Å): 6.675 13.211 7.182
angles (deg): 90.00 90.00 90.00
Space group Imm2 (No. 44)
Asymmetric unit:
Cs 0.000 0.000 0.000 [2 per cell]
Cs 0.000 0.315 0.151 [4 per cell]
Si 0.000 0.334 0.650 [4 per cell]
Si 0.000 0.500 0.677 [2 per cell]

=====

# 11
The following is a DFT calculation (PBE) of a geometry-optimized CsSi2 structure.

Energy relative to the lowest polymorph listed for this composition, meV per atom: 31
Crystal system: orthorhombic
Electronic total energy, eV/atom: -3.810
N(E_F), states/eV/cell: 2.39

a b c (Å): 3.916 7.062 6.697
angles (deg): 90.00 90.00 90.00
Space group Pmn2_1 (No. 31)
Asymmetric unit:
Cs 0.000 0.110 0.000 [2 per cell]
Si 0.000 0.408 0.524 [2 per cell]
Si 0.000 0.584 0.828 [2 per cell]

=====

# 12
The following is a DFT calculation (PBE) of a geometry-optimized CsSi structure.

Energy relative to the lowest polymorph listed for this composition, meV per atom: 283
Crystal system: tetragonal
Electronic total energy, eV/atom: -2.937
N(E_F), states/eV/cell: 8.42

a b c (Å): 14.441 14.441 3.959
angles (deg): 90.00 90.00 90.00
Space group P4/m (No. 83)
Asymmetric unit:
Cs 0.025 0.759 0.000 [4 per cell]
Cs 0.292 0.373 0.500 [4 per cell]
Si 0.077 0.523 0.000 [4 per cell]
Si 0.148 0.577 0.500 [4 per cell]

=====

# 13
The following is a DFT calculation (PBE) of a geometry-optimized CsSi structure.

Energy relative to the lowest polymorph listed for this composition, meV per atom: 1226
Crystal system: cubic
Electronic total energy, eV/atom: -1.994

a b c (Å): 10.631 10.631 10.631
angles (deg): 90.00 90.00 90.00
Space group Pm-3n (No. 223)
Asymmetric unit:
Cs 0.000 0.250 0.500 [6 per cell]
Si 0.000 0.500 0.250 [6 per cell]

=====

# 14
The following is a DFT calculation (PBE) of a geometry-optimized CsSi structure.

Energy relative to the lowest polymorph listed for this composition, meV per atom: 269
Crystal system: orthorhombic
Electronic total energy, eV/atom: -2.951
N(E_F), states/eV/cell: 12.99

a b c (Å): 4.669 13.043 21.947
angles (deg): 90.00 90.00 90.00
Space group Fddd (No. 70, origin choice 2)
Asymmetric unit:
Cs 0.125 0.125 0.293 [16 per cell]
Si 0.125 0.375 0.375 [16 per cell]

=====

# 15
The following is a DFT calculation (PBE) of a geometry-optimized CsSi2 structure.

Energy relative to the lowest polymorph listed for this composition, meV per atom: 34
Crystal system: trigonal
Electronic total energy, eV/atom: -3.807
N(E_F), states/eV/cell: 3.98

a b c (Å): 3.9685 3.9685 19.6335
angles (deg): 90.00 90.00 120.00
Space group R3m (No. 160, hexagonal axes)
Asymmetric unit:
Cs 0.0000 0.0000 0.0000 [3 per cell]
Si 0.0000 0.0000 0.1902 [3 per cell]
Si 0.0000 0.0000 0.4904 [3 per cell]

=====

# 16
The following is a DFT calculation (PBE) of a geometry-optimized CsSi structure.

Energy relative to the lowest polymorph listed for this composition, meV per atom: 183
Crystal system: tetragonal
Electronic total energy, eV/atom: -3.038
N(E_F), states/eV/cell: 10.54

a b c (Å): 14.139 14.139 4.009
angles (deg): 90.00 90.00 90.00
Space group I4/mmm (No. 139)
Asymmetric unit:
Cs 0.000 0.236 0.000 [8 per cell]
Si 0.219 0.219 0.500 [8 per cell]

=====

# 17
The following is a DFT calculation (PBE) of a geometry-optimized CsSi23 structure.

Crystal system: cubic
Electronic total energy, eV/atom: -5.148
N(E_F), states/eV/cell: 8.63

a b c (Å): 10.303 10.303 10.303
angles (deg): 90.00 90.00 90.00
Space group Pm-3n (No. 223)
Asymmetric unit:
Cs 0.000 0.000 0.000 [2 per cell]
Si 0.000 0.117 0.310 [24 per cell]
Si 0.000 0.250 0.500 [6 per cell]
Si 0.185 0.185 0.185 [16 per cell]

=====

Result set for formation energy from raw total energies: -22.41, -20.87, -5.53, 2.28, 2.14, -0.12, 2.21, 0.15, 0.18, 0.46, 0.27, 0.40, 2.29, 0.37, 0.28, 0.20, 2.02 eV/f.u., one per record in the order listed.